Record 1
A plane-wave DFT calculation with PBE-GGA was carried out for crystalline K2ScI5 at its relaxed geometry.

## Properties
- Uncorrected formation energy: -10.42 eV/f.u.
- E above lowest polymorph: 0 meV/atom
- Symmetry: Pnma (62)

abc: 9.3381 9.5057 14.2427
angles: 90.00 90.00 90.00
Last column: nearest neighbours and their distance in Å.
Sites, in units of the cell vectors:
I: 0.6691 0.0496 0.4473  2 Sc 3.05-3.09
I: 0.9247 0.2500 0.1889  1 Sc 2.96
I: 0.3309 0.9504 0.5527  2 Sc 3.05-3.09
I: 0.0753 0.7500 0.8111  1 Sc 2.96
I: 0.6691 0.4504 0.4473  2 Sc 3.05-3.09
I: 0.1312 0.2500 0.8055  1 Sc 2.91
I: 0.0903 0.2500 0.5153  1 Sc 3.12
I: 0.1691 0.5496 0.0527  2 Sc 3.05-3.09
I: 0.8688 0.7500 0.1945  1 Sc 2.91
I: 0.5753 0.2500 0.6889  1 Sc 2.96
I: 0.3309 0.5496 0.5527  2 Sc 3.05-3.09
I: 0.9097 0.7500 0.4847  1 Sc 3.12
I: 0.4097 0.2500 0.0153  1 Sc 3.12
I: 0.8309 0.0496 0.9473  2 Sc 3.05-3.09
I: 0.8309 0.4504 0.9473  2 Sc 3.05-3.09
I: 0.1691 0.9504 0.0527  2 Sc 3.05-3.09
I: 0.4247 0.7500 0.3111  1 Sc 2.96
I: 0.6312 0.7500 0.6945  1 Sc 2.91
I: 0.5903 0.7500 0.9847  1 Sc 3.12
I: 0.3688 0.2500 0.3055  1 Sc 2.91
K: 0.4014 0.5115 0.8316  7 I 3.56-3.84
K: 0.4014 0.9885 0.8316  7 I 3.56-3.84
K: 0.9014 0.4885 0.6684  7 I 3.56-3.84
K: 0.9014 0.0115 0.6684  7 I 3.56-3.84
K: 0.5986 0.4885 0.1684  7 I 3.56-3.84
K: 0.0986 0.5115 0.3316  7 I 3.56-3.84
K: 0.5986 0.0115 0.1684  7 I 3.56-3.84
K: 0.0986 0.9885 0.3316  7 I 3.56-3.84
Sc: 0.4242 0.2500 0.5063  7 I 2.91-3.12
Sc: 0.0758 0.2500 0.0063  7 I 2.91-3.12
Sc: 0.9242 0.7500 0.9937  7 I 2.91-3.12
Sc: 0.5758 0.7500 0.4937  7 I 2.91-3.12


Record 2
A plane-wave DFT calculation with PBE-GGA was carried out for crystalline ZnGaCo2S at its relaxed geometry.

## Properties
- Uncorrected formation energy: 1.75 eV/f.u.
- Symmetry: P4/mmm (123)

abc: 4.1531 4.6845 4.1531
angles: 90.00 90.00 90.00
Last column: nearest neighbours and their distance in Å.
Sites, in units of the cell vectors:
Co: 0.5000 0.0000 0.0000  2 S 2.08
Co: 0.0000 0.0000 0.5000  2 S 2.08
Ga: 0.5000 0.5000 0.5000  4 Zn 2.94, 8 Co 3.13
S: 0.0000 0.0000 0.0000  4 Co 2.08
Zn: 0.0000 0.5000 0.0000  2 S 2.34


Record 3
A plane-wave DFT calculation with PBE-GGA was carried out for crystalline SiIr2Br at its relaxed geometry.

## Properties
- Uncorrected formation energy: 2.33 eV/f.u.
- E above lowest polymorph: 632 meV/atom
- Symmetry: Cmm2 (35)

abc: 2.8970 2.8970 10.1400
angles: 90.00 90.00 122.42
Last column: nearest neighbours and their distance in Å.
Sites, in units of the cell vectors:
Br: 0.5000 0.5000 0.7946  2 Ir 2.65, 6 Br 2.79-2.90
Ir: 0.0000 0.0000 0.0173  2 Br 2.65, 8 Ir 2.69-2.90
Ir: 0.5000 0.5000 0.2442  2 Si 2.46, 2 Ir 2.69
Si: 0.0000 0.0000 0.4439  2 Ir 2.46


Record 4
A plane-wave DFT calculation with PBE-GGA was carried out for crystalline PuThTeN2 at its relaxed geometry.

## Properties
- Uncorrected formation energy: -7.45 eV/f.u.
- Symmetry: I4mm (107)

abc: 4.0165 4.0165 7.0322
angles: 106.59 106.59 90.00
Last column: nearest neighbours and their distance in Å.
Sites, in units of the cell vectors:
Th: 0.1591 0.1591 0.3182  4 N 2.35
Pu: 0.8334 0.8334 0.6668  4 N 2.25
Te: 0.4988 0.4988 0.9977  4 Th 3.51, 4 Pu 3.55, 8 N 3.73-3.85
N: 0.7543 0.2543 0.5087  2 Pu 2.25, 2 Th 2.35
N: 0.2543 0.7543 0.5087  2 Pu 2.25, 2 Th 2.35


Record 5
A plane-wave DFT calculation with PBE-GGA was carried out for crystalline Ni2HOsRh at its relaxed geometry.

## Properties
- E_tot: -6.50 eV per atom
- Symmetry: P4/mmm (123)

abc: 3.7884 3.7884 3.6976
angles: 90.00 90.00 90.00
Last column: nearest neighbours and their distance in Å.
Sites, in units of the cell vectors:
Rh: 0.5000 0.5000 0.5000  8 Ni 2.65, 4 Os 2.68
H: 0.0000 0.0000 0.0000  2 Os 1.85, 4 Ni 1.89
Os: 0.0000 0.0000 0.5000  2 H 1.85
Ni: 0.5000 0.0000 0.0000  2 H 1.89
Ni: 0.0000 0.5000 0.0000  2 H 1.89


Record 6
A plane-wave DFT calculation with PBE-GGA was carried out for crystalline Sr2CaTiS at its relaxed geometry.

## Properties
- Uncorrected formation energy: -1.51 eV/f.u.
- Symmetry: P4/mmm (123)

abc: 5.8007 5.4112 5.8007
angles: 90.00 90.00 90.00
Last column: nearest neighbours and their distance in Å.
Sites, in units of the cell vectors:
Sr: 0.0000 0.0000 0.5000  2 S 2.90
Sr: 0.5000 0.0000 0.0000  2 S 2.90
S: 0.0000 0.0000 0.0000  2 Ca 2.71, 4 Sr 2.90
Ti: 0.5000 0.5000 0.5000  8 Sr 3.97, 4 Ca 4.10
Ca: 0.0000 0.5000 0.0000  2 S 2.71


Record 7
A plane-wave DFT calculation with PBE-GGA was carried out for crystalline Ho10In3Te3 at its relaxed geometry.

## Properties
- Uncorrected formation energy: -10.99 eV/f.u.
- Symmetry: P-62m (189)

abc: 6.3850 8.9648 8.9648
angles: 120.00 90.00 90.00
Last column: nearest neighbours and their distance in Å.
Sites, in units of the cell vectors:
Ho: 0.0000 0.2418 0.0000  3 Te 3.05-3.31
Ho: 0.2514 0.3333 0.6667  2 Ho 3.17-3.21, 3 In 3.18, 3 Te 3.20
Ho: 0.0000 0.0000 0.2418  3 Te 3.05-3.31
Ho: 0.0000 0.7582 0.7582  3 Te 3.05-3.31
Ho: 0.5000 0.2373 0.2373  3 In 3.07-3.31
Ho: 0.7486 0.3333 0.6667  2 Ho 3.17-3.21, 3 In 3.18, 3 Te 3.20
Ho: 0.5000 0.0000 0.7627  3 In 3.07-3.31
Ho: 0.2514 0.6667 0.3333  2 Ho 3.17-3.21, 3 In 3.18, 3 Te 3.20
Ho: 0.5000 0.7627 0.0000  3 In 3.07-3.31
Ho: 0.7486 0.6667 0.3333  2 Ho 3.17-3.21, 3 In 3.18, 3 Te 3.20
In: 0.5000 0.6071 0.6071  7 Ho 3.07-3.31
In: 0.5000 0.3929 0.0000  7 Ho 3.07-3.31
In: 0.5000 0.0000 0.3929  7 Ho 3.07-3.31
Te: 0.0000 0.6112 0.0000  7 Ho 3.05-3.31
Te: 0.0000 0.0000 0.6112  7 Ho 3.05-3.31
Te: 0.0000 0.3888 0.3888  7 Ho 3.05-3.31


Record 8
A plane-wave DFT calculation with PBE-GGA was carried out for crystalline NdPaIrRh at its relaxed geometry.

## Properties
- E above lowest polymorph: 211 meV/atom
- Symmetry: F-43m (216)

abc: 4.9402 4.9402 4.9402
angles: 60.00 60.00 60.00
Last column: nearest neighbours and their distance in Å.
Sites, in units of the cell vectors:
Ir: 0.0000 0.0000 0.0000  4 Pa 3.03, 4 Nd 3.03
Pa: 0.7500 0.7500 0.7500  4 Rh 3.03, 4 Ir 3.03
Rh: 0.5000 0.5000 0.5000  4 Nd 3.03, 4 Pa 3.03
Nd: 0.2500 0.2500 0.2500  4 Ir 3.03, 4 Rh 3.03


Record 9
A plane-wave DFT calculation with PBE-GGA was carried out for crystalline HfTcW2 at its relaxed geometry.

## Properties
- E above lowest polymorph: 820 meV/atom
- Symmetry: I-42d (122)

abc: 7.4213 7.4213 5.8937
angles: 50.98 50.98 90.00
Last column: nearest neighbours and their distance in Å.
Sites, in units of the cell vectors:
W: 0.8750 0.8399 0.7500  2 Tc 2.54, 2 W 2.73
W: 0.5899 0.1250 0.2500  2 Tc 2.54, 2 W 2.73
W: 0.1601 0.6250 0.2500  2 Tc 2.54, 2 W 2.73
W: 0.3750 0.4101 0.7500  2 Tc 2.54, 2 W 2.73
Tc: 0.2500 0.7500 0.5000  4 W 2.54, 2 Hf 2.68
Tc: 0.5000 0.5000 0.0000  4 W 2.54, 2 Hf 2.68
Hf: 0.7500 0.2500 0.5000  2 Tc 2.68, 4 W 2.89
Hf: 0.0000 0.0000 0.0000  2 Tc 2.68, 4 W 2.89


Record 10
A plane-wave DFT calculation with PBE-GGA was carried out for crystalline Ce4P5H at its relaxed geometry.

## Properties
- E_tot: -6.44 eV per atom
- Symmetry: C2/m (12)

abc: 4.0388 7.4371 12.5594
angles: 143.99 99.25 90.00
Last column: nearest neighbours and their distance in Å.
Sites, in units of the cell vectors:
Ce: 0.3169 0.8704 0.6337  7 P 2.77-2.96
Ce: 0.6831 0.1296 0.3663  7 P 2.77-2.96
Ce: 0.0613 0.3922 0.1226  2 H 2.76, 4 P 2.84-3.00
Ce: 0.9387 0.6078 0.8774  2 H 2.76, 4 P 2.84-3.00
P: 0.2685 0.1216 0.5369  2 P 2.34
P: 0.8659 0.7646 0.7319  5 Ce 2.78-2.86, 2 H 2.94
P: 0.1341 0.2354 0.2681  5 Ce 2.78-2.86, 2 H 2.94
P: 0.7315 0.8784 0.4631  2 P 2.34
P: 0.5000 0.5000 0.0000  6 Ce 2.77-3.00
H: 0.5000 0.0000 0.0000  4 Ce 2.76, 4 P 2.94


Record 11
A plane-wave DFT calculation with PBE-GGA was carried out for crystalline Ba2CoTe at its relaxed geometry.

## Properties
- Uncorrected formation energy: -1.63 eV/f.u.
- Symmetry: Amm2 (38)

abc: 6.7286 6.7286 4.5985
angles: 90.00 90.00 42.01
Last column: nearest neighbours and their distance in Å.
Sites, in units of the cell vectors:
Te: 0.3124 0.3124 0.1249  2 Co 2.78
Ba: 0.0150 0.0150 0.1253  4 Co 3.47, 3 Te 3.51-3.74
Ba: 0.7353 0.7353 0.6250  4 Te 3.47, 3 Co 3.50-3.74
Co: 0.4373 0.4373 0.6249  2 Te 2.78


Record 12
A plane-wave DFT calculation with PBE-GGA was carried out for crystalline NdEuF at its relaxed geometry.

## Properties
- Uncorrected formation energy: -4.64 eV/f.u.
- Symmetry: P3m1 (156)

abc: 3.8227 3.8227 6.1606
angles: 90.00 90.00 120.00
Last column: nearest neighbours and their distance in Å.
Sites, in units of the cell vectors:
Eu: 0.0000 0.0000 0.9158  3 F 2.67
F: 0.3333 0.6667 0.6719  3 Eu 2.67, 3 Nd 2.73
Nd: 0.6667 0.3333 0.4124  3 F 2.73


DOS at the Fermi energy (computed, states/eV/atom): 0.00 0.91 0.72 0.77 0.91 0.97 0.55 1.41 0.94 1.59 1.01 1.26